The following is a DFT calculation (GGA+U) of a geometry-optimized MgUCoO6 structure.

The structure in CIF format:
```
data_MgUCoO6
_chemical_formula_sum 'Mg2 U2 Co2 O12'
_cell_length_a 4.7089
_cell_length_b 4.7089
_cell_length_c 9.3354
_cell_angle_alpha 90.00
_cell_angle_beta 90.00
_cell_angle_gamma 90.00
_space_group_name_H-M_alt 'P 42 n m'
_space_group_IT_number 102
_space_group_name_Hall 'P 4n -2n'
loop_
_atom_site_label
_atom_site_type_symbol
_atom_site_fract_x
_atom_site_fract_y
_atom_site_fract_z
Mg1 Mg 0.0000 0.0000 0.0000
U1 U 0.0000 0.0000 0.3360
Co1 Co 0.0000 0.0000 0.6701
O1 O 0.1872 0.1872 0.5136
O2 O 0.1867 0.1867 0.8237
O3 O 0.2125 0.2125 0.1714
```

## Properties
* uncorrected energy: -7.458 eV per atom
* V: 103.50 Å³/f.u.